An optimized crystal structure of CsMoSe2O8, computed with PBE with a Hubbard U.

Cell: 5.560 5.560 8.697 Å, 71.36 71.36 60.00°
Fractional positions:
O  0.770  0.024  0.862
O  0.976  0.655  0.138
O  0.345  0.770  0.862
Cs  0.500  0.500  0.500
O  0.791  0.791  0.627
Se  0.723  0.723  0.830
O  0.655  0.230  0.138
O  0.024  0.345  0.862
O  0.209  0.209  0.373
Mo  0.000  0.000  0.000
Se  0.277  0.277  0.170
O  0.230  0.976  0.138

Results
**Calculated total energy**: -5.56 eV per atom